Entry 1:
! Pu5Cu2Pt5 | Alexandria | PBE | relaxed; values from VASP
! Magnetization: 27.00 μB per cell
! Formation energy: -7.0 eV per formula unit
! Uncorrected energy: -9.75 eV per atom
&SYSTEM
  ibrav = 0, nat = 12, ntyp = 3
/
ATOMIC_SPECIES
Pu 244.00 Pu.upf
Cu 63.55 Cu.upf
Pt 195.08 Pt.upf
ATOMIC_POSITIONS angstrom
Pu 3.1386 -3.1725 5.5301
Pu 1.6561 -0.1265 2.9903
Pu 5.6831 -0.9406 6.9376
Pu 4.6211 -6.2185 8.0699
Pu 0.5942 -5.4045 4.1226
Cu 4.2538 -3.1719 8.2981
Cu 2.0235 -3.1732 2.7620
Pt 0.2730 -2.3411 4.3733
Pt 6.0043 -4.0040 6.6869
Pt 4.3119 -0.7357 4.0830
Pt 0.0000 0.0000 0.0000
Pt 1.9653 -5.6094 6.9772
CELL_PARAMETERS angstrom
-1.6577 -0.4816 3.7604
1.4395 -7.3418 1.9707
6.4954 1.4783 5.3291

Entry 2:
! AcTbEuTl | Alexandria | PBE | relaxed; values from VASP
! Magnetization: 8.21 μB per cell
! Formation energy: 0.1 eV per formula unit
! Uncorrected energy: -5.32 eV per atom
&SYSTEM
  ibrav = 0, nat = 4, ntyp = 4
/
ATOMIC_SPECIES
Tb 158.93 Tb.upf
Eu 151.96 Eu.upf
Ac 227.00 Ac.upf
Tl 204.38 Tl.upf
ATOMIC_POSITIONS angstrom
Tb 0.9456 -5.3779 -9.0439
Eu 0.3152 -1.7926 -3.0146
Ac 0.6304 -3.5853 -6.0293
Tl 0.0000 0.0000 0.0000
CELL_PARAMETERS angstrom
-1.8531 -0.4223 -5.4274
3.6366 -1.5796 -4.1653
-0.5227 -5.1687 -2.4659

Entry 3:
! La8Rh3AuI3 | Alexandria | PBE | relaxed; values from VASP
! Magnetization: 0.00 μB per cell
! Uncorrected energy: -5.53 eV per atom
! Formation energy without anion corrections: -0.90 eV per atom
&SYSTEM
  ibrav = 0, nat = 15, ntyp = 4
/
ATOMIC_SPECIES
Rh 102.91 Rh.upf
I 126.90 I.upf
La 138.91 La.upf
Au 196.97 Au.upf
ATOMIC_POSITIONS angstrom
Rh -1.9483 0.7605 4.2293
Rh -4.9560 -3.9675 -0.6642
Rh -2.2836 -3.2039 2.6042
I 2.6724 0.7636 3.2684
I 2.3371 -3.2008 1.6432
I 0.0000 0.0000 0.0000
La -0.5565 -5.2352 1.5206
La -0.1400 -1.3170 3.2416
La -1.4756 -0.4438 6.7897
La -3.0917 -5.9640 -1.5813
La -4.0108 -1.1725 3.6878
La -1.7944 -4.2129 5.2446
La -4.4273 -5.0908 1.9668
La -2.7729 -2.1949 -0.0362
Au -4.6207 -0.0031 0.9610
CELL_PARAMETERS angstrom
-0.6707 -7.9288 -3.2503
5.3449 1.5273 6.5367
-9.2414 -0.0062 1.9219

Entry 4:
! CaGdYCd | Alexandria | PBE | relaxed; values from VASP
! Magnetization: 7.41 μB per cell
! Formation energy: -0.1 eV per formula unit
! Uncorrected energy: -5.89 eV per atom
&SYSTEM
  ibrav = 0, nat = 4, ntyp = 4
/
ATOMIC_SPECIES
Gd 157.25 Gd.upf
Cd 112.41 Cd.upf
Ca 40.08 Ca.upf
Y 88.91 Y.upf
ATOMIC_POSITIONS angstrom
Gd -1.3483 -2.7851 1.3768
Cd 0.0000 0.0000 0.0000
Ca -2.6966 -5.5702 2.7535
Y -4.0449 -8.3553 4.1303
CELL_PARAMETERS angstrom
-3.2701 -1.9174 4.0271
-3.2545 -4.3743 -0.9278
1.1314 -4.8487 2.4078

Entry 5:
! Y3As | Alexandria | PBE | relaxed; values from VASP
! Magnetization: 0.00 μB per cell
! Formation energy: -2.0 eV per formula unit
! E above lowest polymorph: 126.2 meV per atom
! Uncorrected energy: -6.51 eV per atom
&SYSTEM
  ibrav = 0, nat = 4, ntyp = 2
/
ATOMIC_SPECIES
Y 88.91 Y.upf
As 74.92 As.upf
ATOMIC_POSITIONS angstrom
Y 1.1926 -4.7598 -0.8528
Y 1.2410 -8.1007 0.5047
Y 0.1020 -2.3651 1.6136
As 0.0000 0.0000 0.0000
CELL_PARAMETERS angstrom
-1.0422 -0.9462 3.8238
-1.7690 -4.0718 -1.4897
4.1542 -5.4478 -0.2158

Entry 6:
! KMnI4 | Alexandria | PBE | relaxed; values from VASP
! Magnetization: 8.00 μB per cell
! E above lowest polymorph: 2.7 meV per atom
! Uncorrected energy: -3.40 eV per atom
! Formation energy without anion corrections: -0.66 eV per atom
&SYSTEM
  ibrav = 0, nat = 12, ntyp = 3
/
ATOMIC_SPECIES
Mn 54.94 Mn.upf
I 126.90 I.upf
K 39.10 K.upf
ATOMIC_POSITIONS angstrom
Mn 0.0000 5.9230 2.1582
Mn 0.0000 0.0000 0.0000
I 0.0000 3.7854 3.6357
I 2.1376 5.9230 0.6807
I 9.7084 0.0000 1.4775
I 5.9230 -3.7854 2.8389
I 5.9230 2.1376 -0.6807
I 2.1376 0.0000 1.4775
I 3.7854 0.0000 4.9972
I 5.9230 3.7854 2.8389
K 0.0000 0.0000 4.3164
K 5.9230 0.0000 2.1582
CELL_PARAMETERS angstrom
-5.9230 5.9230 4.3164
5.9230 -5.9230 4.3164
5.9230 5.9230 -4.3164